Record 1
DFT (GGA-PBE) results for an optimized crystal structure of Ca2Ga2Sn.

The space group is P4/mbm (No. 127) and the conventional cell measures 7.341, 7.341 and 4.677 Å, with angles of 90.00, 90.00 and 90.00 degrees. The inequivalent atoms are Ca at (0.176, 0.324, 0.000), Ga at (0.123, 0.623, 0.500) and Sn at (0.000, 0.000, 0.500).

Its calculated density is 4.46 Mg/m³. The calculation puts the formation energy from the elements at -495 meV/atom. The value obtained for the total moment is 0.0 μB/f.u. The total energy is -33.06 eV/cell.



Record 2
DFT (GGA-PBE) results for an optimized crystal structure of CaGa3Sn.

The space group is Pm-3m (No. 221) and the conventional cell measures 5.338, 5.338 and 5.338 Å, with angles of 90.00, 90.00 and 90.00 degrees. The inequivalent atoms are Ca at (0.000, 0.000, 0.000), Ga at (0.000, 0.500, 0.500) and Sn at (0.500, 0.500, 0.500).

Its calculated density is 4.02 Mg/m³. The calculation puts the formation energy from the elements at 253 meV/atom. The value obtained for the total moment is 0.0 μB/f.u. The total energy is -13.82 eV/cell.